1.
Entry from Alexandria via LeMat-Bulk: an optimized crystal structure of Tb2B2Os (PBE).

Symmetry: C2/c (15)
Crystal system: monoclinic
Calculated volume (Å³ per atom): 17.01
Formation enthalpy at 0 K (eV/atom): -0.3815

Cell and atoms, written as CIF:
```
data_Tb2B2Os
_symmetry_space_group_name_H-M 'P 1'
_symmetry_Int_Tables_number 1
_symmetry_space_group_name_Hall 'P 1'
_cell_length_a 5.193
_cell_length_b 5.273
_cell_length_c 7.292
_cell_angle_alpha 100.26
_cell_angle_beta 90.00
_cell_angle_gamma 119.50
loop_
_atom_site_label
_atom_site_fract_x
_atom_site_fract_y
_atom_site_fract_z
Tb1 0.751 0.316 0.650
Tb2 0.435 0.684 0.850
Tb3 0.249 0.684 0.350
Tb4 0.565 0.316 0.150
B1 0.831 0.827 0.501
B2 0.169 0.173 0.499
B3 0.004 0.173 0.999
B4 0.996 0.827 0.001
Os1 0.878 0.000 0.250
Os2 0.122 0.000 0.750
```


2.
Entry from Alexandria via LeMat-Bulk: an optimized crystal structure of TbB2Os2 (PBE).

Symmetry: I4/mmm (139)
Crystal system: tetragonal
Calculated volume (Å³ per atom): 15.33
Formation enthalpy at 0 K (eV/atom): -0.3817

Cell and atoms, written as CIF:
```
data_TbB2Os2
_symmetry_space_group_name_H-M 'P 1'
_symmetry_Int_Tables_number 1
_symmetry_space_group_name_Hall 'P 1'
_cell_length_a 4.028
_cell_length_b 4.028
_cell_length_c 5.517
_cell_angle_alpha 111.41
_cell_angle_beta 111.41
_cell_angle_gamma 90.00
loop_
_atom_site_label
_atom_site_fract_x
_atom_site_fract_y
_atom_site_fract_z
Tb1 0.000 0.000 0.000
Os1 0.750 0.250 0.500
Os2 0.250 0.750 0.500
B1 0.678 0.678 0.357
B2 0.322 0.322 0.643
```


3.
Entry from Alexandria via LeMat-Bulk: an optimized crystal structure of Tb3B7Os (PBE).

Symmetry: Cmcm (63)
Crystal system: orthorhombic
Calculated volume (Å³ per atom): 11.90
Formation enthalpy at 0 K (eV/atom): -0.6072

Cell and atoms, written as CIF:
```
data_Tb3B7Os
_symmetry_space_group_name_H-M 'P 1'
_symmetry_Int_Tables_number 1
_symmetry_space_group_name_Hall 'P 1'
_cell_length_a 3.536
_cell_length_b 8.105
_cell_length_c 9.364
_cell_angle_alpha 90.00
_cell_angle_beta 90.00
_cell_angle_gamma 102.60
loop_
_atom_site_label
_atom_site_fract_x
_atom_site_fract_y
_atom_site_fract_z
Tb1 0.894 0.789 0.939
Tb2 0.244 0.489 0.750
Tb3 0.106 0.211 0.061
Tb4 0.756 0.511 0.250
Tb5 0.106 0.211 0.439
Tb6 0.894 0.789 0.561
B1 0.521 0.043 0.903
B2 0.479 0.957 0.097
B3 0.368 0.736 0.349
B4 0.727 0.454 0.966
B5 0.521 0.043 0.597
B6 0.458 0.917 0.750
B7 0.273 0.546 0.466
B8 0.273 0.546 0.034
B9 0.727 0.454 0.534
B10 0.542 0.083 0.250
B11 0.479 0.957 0.403
B12 0.632 0.264 0.651
B13 0.368 0.736 0.151
B14 0.632 0.264 0.849
Os1 0.055 0.109 0.750
Os2 0.945 0.891 0.250
```


- What is the formation enthalpy at 0 K in the second record?
  -0.3817 eV/atom


- What is the calculated volume in the second record?
  15.33 Å³ per atom


- What is the formula in the second record?
  TbB2Os2